# Cs2LiHfF6

A geometry-optimized Cs2LiHfF6 structure (GGA-PBE, Alexandria via LeMat-Bulk).

Lattice parameters (Å, degrees): 6.198 6.198 8.985 90.00 90.00 90.00
Space group I4/mmm (No. 139)
Unique sites:
Cs 0.000 0.500 0.250 x4
Li 0.000 0.000 0.000 x2
Hf 0.000 0.000 0.500 x2
F 0.000 0.000 0.258 x4
F 0.241 0.241 0.500 x8

Output
- E_form (uncorrected): -2.9857 eV per atom

***

# Tb4PmPr2Nd

A geometry-optimized Tb4PmPr2Nd structure (GGA-PBE, Alexandria via LeMat-Bulk).

Lattice parameters (Å, degrees): 6.284 3.638 11.954 90.00 100.24 90.00
Space group P2/m (No. 10)
Unique sites:
Tb 0.249 0.000 0.249 x2
Tb 0.250 0.500 0.750 x2
Pm 0.000 0.500 0.000 x1
Pr 0.500 0.000 0.000 x1
Pr 0.500 0.500 0.500 x1
Nd 0.000 0.000 0.500 x1

Output
- DFT formation energy: 1 kJ/mol of atoms

***

# BaMg2Pb

A geometry-optimized BaMg2Pb structure (GGA-PBE, Alexandria via LeMat-Bulk).

Lattice parameters (Å, degrees): 5.535 5.535 20.698 90.00 90.00 90.00
Space group I-42d (No. 122)
Unique sites:
Ba 0.000 0.000 0.000 x4
Mg 0.055 0.250 0.625 x8
Pb 0.000 0.000 0.500 x4

Output
- DFT formation energy: 0 kJ/mol of atoms

***

It is found that the mass density values, taken in the order of the records, are 5438; 7451; 4119 kg/m3.
It is found that the E_tot values, taken in the order of the records, are -109.32; -37.48; -35.34 eV for the cell shown.